Entry 1:
First-principles (PBE-GGA) data for a geometry-optimized HfPaPt6 structure, as listed in the Alexandria database.

a b c (Å): 4.114 4.114 8.209
angles (deg): 90.00 90.00 90.00
Space group P4/mmm (No. 123)
One atom of each set of equivalent atoms:
1 Hf 0.000 0.000 0.000 (multiplicity 1)
2 Pa 0.000 0.000 0.500 (multiplicity 1)
3 Pt 0.000 0.500 0.240 (multiplicity 4)
4 Pt 0.500 0.500 0.000 (multiplicity 1)
5 Pt 0.500 0.500 0.500 (multiplicity 1)

* calculated volume: 17.36 A^3/atom
* DOS(E_F): 7.037 states/eV/cell
* E_form: -95 kJ/mol of atoms

***

Entry 2:
First-principles (PBE-GGA) data for a geometry-optimized CaLa2YIr structure, as listed in the Alexandria database.

a b c (Å): 5.665 5.665 5.646
angles (deg): 90.00 90.00 90.00
Space group P4/mmm (No. 123)
One atom of each set of equivalent atoms:
1 Ca 0.000 0.000 0.000 (multiplicity 1)
2 La 0.000 0.500 0.500 (multiplicity 2)
3 Y 0.500 0.500 0.000 (multiplicity 1)
4 Ir 0.500 0.500 0.500 (multiplicity 1)

* calculated volume: 36.24 A^3/atom
* DOS(E_F): 5.996 states/eV/cell
* E_form: -33 kJ/mol of atoms
* distance to the lowest polymorph of the same formula: 0.000 eV per atom

***

Entry 3:
First-principles (PBE-GGA) data for a geometry-optimized ZrCu2B structure, as listed in the Alexandria database.

a b c (Å): 3.512 3.512 18.071
angles (deg): 90.00 90.00 90.00
Space group I-42d (No. 122)
One atom of each set of equivalent atoms:
1 Zr 0.000 0.000 0.000 (multiplicity 4)
2 Cu 0.221 0.250 0.625 (multiplicity 8)
3 B 0.000 0.000 0.500 (multiplicity 4)

* calculated volume: 13.93 A^3/atom
* DOS(E_F): 7.483 states/eV/cell
* E_form: 24 kJ/mol of atoms

***

Number 1: total DFT energy (no corrections) -0.292 hartree per atom. Number 2: total DFT energy (no corrections) -0.212 hartree per atom. Number 3: total DFT energy (no corrections) -0.206 hartree per atom.